# Be5Pd

Be5Pd after structural relaxation (PBE, Alexandria via LeMat-Bulk).

Cell and atoms, written as extended XYZ:
```
6
Lattice="1.692 -4.995 0.000 1.692 4.995 0.000 0.000 0.000 3.317" Properties=species:S:1:pos:R:3 pbc="T T T"
Be 0.000 0.000 0.000
Be 1.692 3.242 1.659
Be 1.692 1.760 0.000
Be 1.692 -1.760 0.000
Be 1.692 -3.242 1.659
Pd 1.692 0.000 1.659
```

Magnetization ... 0.00 μB per formula unit
ΔE to the lowest computed polymorph ... 12.6 kJ/mol of atoms
Symmetry ... No. 65

# Be2Pd13

Be2Pd13 after structural relaxation (PBE, Alexandria via LeMat-Bulk).

Cell and atoms, written as extended XYZ:
```
15
Lattice="5.284 0.000 0.000 1.251 6.295 0.000 0.257 3.125 6.589" Properties=species:S:1:pos:R:3 pbc="T T T"
Be 1.391 2.459 2.169
Be 5.400 6.962 4.420
Pd 0.625 3.148 0.000
Pd 0.390 2.376 4.359
Pd 1.758 5.275 4.217
Pd 1.630 3.639 6.437
Pd 2.351 4.636 1.591
Pd 3.471 7.235 5.644
Pd 3.749 6.614 2.798
Pd 3.042 2.806 3.791
Pd 3.320 2.185 0.945
Pd 4.440 4.785 4.997
Pd 5.161 5.781 0.151
Pd 5.034 4.145 2.372
Pd 6.401 7.044 2.230
```

Magnetization ... 0.00 μB per formula unit
Raw total energy ... -5.13 eV per atom
Symmetry ... No. 2

# BePd3

BePd3 after structural relaxation (PBE, Alexandria via LeMat-Bulk).

Cell and atoms, written as extended XYZ:
```
4
Lattice="2.772 0.000 0.000 0.000 2.819 0.000 0.000 0.000 7.285" Properties=species:S:1:pos:R:3 pbc="T T T"
Be 0.000 0.000 0.000
Pd 0.000 1.410 1.726
Pd 1.386 0.000 3.755
Pd 1.386 1.410 6.124
```

Magnetization ... 0.00 μB per formula unit
ΔE to the lowest computed polymorph ... 18.9 kJ/mol of atoms
Symmetry ... No. 25